Record 1
This record from the Alexandria database describes an optimized crystal structure of NaLaFeP2. The functional is GGA-PBE.

Output
Total energy, eV for the cell shown: -26.8
Magnetic moment, μB/f.u.: 2.0

Cell: 4.5636 4.6560 4.5636 Å, 90.00 90.00 90.00°
With the nearest neighbours (Å) after each atom.
Atoms (fractional coordinates):
1 P 0.0000 0.0000 0.5000  2 Fe 2.28
2 P 0.5000 0.0000 0.0000  2 Fe 2.28
3 Na 0.0000 0.5000 0.0000  2 Fe 2.33
4 Fe 0.0000 0.0000 0.0000  4 P 2.28, 2 Na 2.33
5 La 0.5000 0.5000 0.5000  4 Na 3.23, 8 P 3.26

Record 2
This record from the Alexandria database describes an optimized crystal structure of Na2LaFePd. The functional is GGA-PBE.

Output
Total energy, eV for the cell shown: -18.4
Magnetic moment, μB/f.u.: 2.6

Cell: 5.2737 5.5257 5.2737 Å, 90.00 90.00 90.00°
With the nearest neighbours (Å) after each atom.
Atoms (fractional coordinates):
1 Na 0.0000 0.0000 0.5000  2 Pd 2.64
2 Na 0.5000 0.0000 0.0000  2 Pd 2.64
3 Fe 0.5000 0.5000 0.5000  4 La 3.73, 8 Na 3.82
4 Pd 0.0000 0.0000 0.0000  4 Na 2.64, 2 La 2.76
5 La 0.0000 0.5000 0.0000  2 Pd 2.76

Record 3
This record from the Alexandria database describes an optimized crystal structure of NaLaSc2Fe. The functional is GGA-PBE.

Output
Total energy, eV for the cell shown: -22.4
Magnetic moment, μB/f.u.: 1.2

Cell: 5.4203 4.5474 5.4203 Å, 90.00 90.00 90.00°
With the nearest neighbours (Å) after each atom.
Atoms (fractional coordinates):
1 Sc 0.0000 0.0000 0.5000  2 La 2.71
2 Sc 0.5000 0.0000 0.0000  2 La 2.71
3 Na 0.5000 0.5000 0.5000  8 Sc 3.54, 4 Fe 3.83
4 Fe 0.0000 0.5000 0.0000  2 La 2.27
5 La 0.0000 0.0000 0.0000  2 Fe 2.27

Record 4
This record from the Alexandria database describes an optimized crystal structure of NaLa2FeSn. The functional is GGA-PBE.

Output
Total energy, eV for the cell shown: -24.4
Magnetic moment, μB/f.u.: 0.0

Cell: 5.3395 5.3395 5.0557 Å, 90.00 90.00 90.00°
With the nearest neighbours (Å) after each atom.
Atoms (fractional coordinates):
1 Fe 0.0000 0.0000 0.0000  2 Sn 2.53, 4 La 2.67
2 Na 0.5000 0.5000 0.5000  8 La 3.68, 4 Sn 3.78
3 Sn 0.0000 0.0000 0.5000  2 Fe 2.53
4 La 0.0000 0.5000 0.0000  2 Fe 2.67
5 La 0.5000 0.0000 0.0000  2 Fe 2.67